No. 1
An optimized crystal structure of CsRhI2, computed with GGA-PBE.

Calculated values
- Energy above the lowest structure with this stoichiometry: 1.849 eV per formula unit
- V: 567.8 Å³/cell
- ΔE_f (raw): 93.8 meV/atom

CIF file:
```
data_CsRhI2
_cell_length_a 8.281
_cell_length_b 8.281
_cell_length_c 8.281
_cell_angle_alpha 90.00
_cell_angle_beta 90.00
_cell_angle_gamma 90.00
_space_group_name_H-M_alt 'P 1'
_space_group_IT_number 1
loop_
_space_group_symop_operation_xyz
'x,y,z'
loop_
_atom_site_label
_atom_site_type_symbol
_atom_site_fract_x
_atom_site_fract_y
_atom_site_fract_z
Cs1 Cs 0.000 0.000 0.000
Cs2 Cs 0.000 0.500 0.500
Cs3 Cs 0.500 0.000 0.500
Cs4 Cs 0.500 0.500 0.000
Rh1 Rh 0.000 0.000 0.500
Rh2 Rh 0.000 0.500 0.000
Rh3 Rh 0.500 0.000 0.000
Rh4 Rh 0.500 0.500 0.500
I1 I 0.250 0.250 0.250
I2 I 0.250 0.250 0.750
I3 I 0.250 0.750 0.250
I4 I 0.250 0.750 0.750
I5 I 0.750 0.250 0.250
I6 I 0.750 0.250 0.750
I7 I 0.750 0.750 0.250
I8 I 0.750 0.750 0.750
```


No. 2
An optimized crystal structure of TiGa2Sn, computed with GGA-PBE.

Calculated values
- Energy of formation from the pure elements: -101 meV per atom
- V: 73.8 Å³/cell

CIF file:
```
data_TiGa2Sn
_cell_length_a 4.289
_cell_length_b 4.289
_cell_length_c 4.011
_cell_angle_alpha 90.00
_cell_angle_beta 90.00
_cell_angle_gamma 90.00
_space_group_name_H-M_alt 'P 1'
_space_group_IT_number 1
loop_
_space_group_symop_operation_xyz
'x,y,z'
loop_
_atom_site_label
_atom_site_type_symbol
_atom_site_fract_x
_atom_site_fract_y
_atom_site_fract_z
Ti1 Ti 0.000 0.000 0.000
Ga1 Ga 0.000 0.500 0.500
Ga2 Ga 0.500 0.000 0.500
Sn1 Sn 0.500 0.500 0.000
```


No. 3
An optimized crystal structure of Pr8In2Pt3, computed with GGA-PBE.

Calculated values
- Energy of formation from the pure elements: -537 meV per atom
- V: 409.0 Å³/cell

CIF file:
```
data_Pr8In2Pt3
_cell_length_a 9.280
_cell_length_b 9.280
_cell_length_c 5.122
_cell_angle_alpha 90.00
_cell_angle_beta 90.00
_cell_angle_gamma 111.98
_space_group_name_H-M_alt 'P 1'
_space_group_IT_number 1
loop_
_space_group_symop_operation_xyz
'x,y,z'
loop_
_atom_site_label
_atom_site_type_symbol
_atom_site_fract_x
_atom_site_fract_y
_atom_site_fract_z
Pr1 Pr 0.114 0.886 0.000
Pr2 Pr 0.130 0.361 0.500
Pr3 Pr 0.361 0.130 0.500
Pr4 Pr 0.386 0.614 0.000
Pr5 Pr 0.614 0.386 0.000
Pr6 Pr 0.639 0.870 0.500
Pr7 Pr 0.870 0.639 0.500
Pr8 Pr 0.886 0.114 0.000
In1 In 0.255 0.745 0.500
In2 In 0.745 0.255 0.500
Pt1 Pt 0.000 0.000 0.500
Pt2 Pt 0.261 0.261 0.000
Pt3 Pt 0.739 0.739 0.000
```


No. 4
An optimized crystal structure of NaCd2Ge, computed with GGA-PBE.

Calculated values
- Energy of formation from the pure elements: 165 meV per atom
- V: 393.2 Å³/cell

CIF file:
```
data_NaCd2Ge
_cell_length_a 4.421
_cell_length_b 4.421
_cell_length_c 20.121
_cell_angle_alpha 90.00
_cell_angle_beta 90.00
_cell_angle_gamma 90.00
_space_group_name_H-M_alt 'P 1'
_space_group_IT_number 1
loop_
_space_group_symop_operation_xyz
'x,y,z'
loop_
_atom_site_label
_atom_site_type_symbol
_atom_site_fract_x
_atom_site_fract_y
_atom_site_fract_z
Na1 Na 0.000 0.000 0.000
Na2 Na 0.000 0.500 0.250
Na3 Na 0.500 0.000 0.750
Na4 Na 0.500 0.500 0.500
Cd1 Cd 0.235 0.250 0.625
Cd2 Cd 0.250 0.735 0.875
Cd3 Cd 0.250 0.765 0.375
Cd4 Cd 0.265 0.250 0.125
Cd5 Cd 0.735 0.750 0.125
Cd6 Cd 0.750 0.235 0.375
Cd7 Cd 0.750 0.265 0.875
Cd8 Cd 0.765 0.750 0.625
Ge1 Ge 0.000 0.000 0.500
Ge2 Ge 0.000 0.500 0.750
Ge3 Ge 0.500 0.000 0.250
Ge4 Ge 0.500 0.500 0.000
```


Number 1: M_tot 0.500 μB/atom. Number 2: M_tot 0.000 μB/atom. Number 3: M_tot 0.000 μB/atom. Number 4: M_tot 0.000 μB/atom.